4
Lattice="-2.761 1.147 1.577 -3.300 -5.378 -1.865 -0.967 -5.395 2.231" Properties=species:S:1:pos:R:3 comment="BeCd2Br PBE optimized geometry" e_form_raw_ev_per_atom=0.395 e_above_lowest_polymorph_ev_per_atom=0.3218 magmom_total_mub_per_cell=0.00 pbc="T T T"
Be -3.514 -4.813 0.972
Br -0.483 -2.698 1.116
Cd 0.000 0.000 0.000
Cd -3.031 -2.116 -0.144